Computed, not measured: a geometry-optimized PrNd2MgN structure at the GGA-PBE level of DFT.

```
PrNd2MgN
1.0
-0.893 3.073 -4.020
-4.107 -2.741 -1.183
-2.852 3.008 2.933
Nd Pr Mg N
2 1 1 1
direct
0.000 0.500 0.000
0.000 0.000 0.500
0.500 0.000 0.000
0.500 0.500 0.500
0.000 0.000 0.000
```

Computed properties:
Its total energy is -5.426 eV per atom. The symmetry is P4/mmm (123). For the formation energy from raw total energies, the calculation gives -0.578 eV/atom.